# Er6Te2P (PBE, relaxed)
data_Er6Te2P
_cell_length_a 6.494
_cell_length_b 7.634
_cell_length_c 11.681
_cell_angle_alpha 90.00
_cell_angle_beta 121.38
_cell_angle_gamma 90.00
_symmetry_space_group_name_H-M 'P 1 21/c 1'
_symmetry_Int_Tables_number 14
_symmetry_space_group_name_Hall '-P 2ybc'
loop_
_atom_site_label
_atom_site_fract_x
_atom_site_fract_y
_atom_site_fract_z
_atom_site_occupancy
Er1 0.106 0.192 0.458 1
Er2 0.309 0.675 0.453 1
Er3 0.386 0.025 0.241 1
Te1 0.157 0.120 0.740 1
P1 0.500 0.000 0.500 1
# **Theoretical density**: 8.66 Mg/m³
# **Formation energy without anion corrections**: -0.865 eV/atom